(one)
Entry from Alexandria: a geometry-optimized LiErAu structure (GGA-PBE).

The value obtained for the density is 10030 kg/m³.

Unit cell a=3.670 b=3.670 c=9.127 alpha=90.00 beta=90.00 gamma=90.00
Fractional positions:
Li: 0.000 0.000 0.000
Li: 0.500 0.500 0.500
Er: 0.000 0.000 0.310
Er: 0.500 0.500 0.810
Au: 0.000 0.000 0.650
Au: 0.500 0.500 0.150

(two)
Entry from Alexandria: a geometry-optimized LiErAu structure (GGA-PBE).

The value obtained for the density is 8415 kg/m³.

Unit cell a=6.642 b=6.642 c=6.642 alpha=90.00 beta=90.00 gamma=90.00
Fractional positions:
Li: 0.000 0.000 0.000
Li: 0.000 0.500 0.500
Li: 0.500 0.000 0.500
Li: 0.500 0.500 0.000
Er: 0.000 0.000 0.500
Er: 0.000 0.500 0.000
Er: 0.500 0.000 0.000
Er: 0.500 0.500 0.500
Au: 0.250 0.250 0.250
Au: 0.250 0.750 0.750
Au: 0.750 0.250 0.750
Au: 0.750 0.750 0.250

(three)
Entry from Alexandria: a geometry-optimized LiErAu structure (GGA-PBE).

The value obtained for the density is 9354 kg/m³.

Unit cell a=10.311 b=3.960 c=7.429 alpha=90.00 beta=119.68 gamma=90.00
Fractional positions:
Li: 0.183 0.000 0.069
Li: 0.317 0.500 0.931
Li: 0.683 0.500 0.069
Li: 0.817 0.000 0.931
Er: 0.069 0.500 0.326
Er: 0.431 0.000 0.674
Er: 0.569 0.000 0.326
Er: 0.931 0.500 0.674
Au: 0.153 0.000 0.680
Au: 0.347 0.500 0.320
Au: 0.653 0.500 0.680
Au: 0.847 0.000 0.320

Which structure loses on stability? (two) does.

(one)
Entry from Alexandria: a geometry-optimized Li2ErAu8 structure (GGA-PBE).

The value obtained for the density is 14803 kg/m³.

Unit cell a=7.790 b=7.790 c=6.680 alpha=106.41 beta=106.41 gamma=30.56
Fractional positions:
Li: 0.221 0.221 0.148
Li: 0.779 0.779 0.852
Er: 0.500 0.500 0.500
Au: 0.046 0.046 0.221
Au: 0.146 0.146 0.703
Au: 0.317 0.317 0.585
Au: 0.396 0.396 0.039
Au: 0.604 0.604 0.961
Au: 0.683 0.683 0.415
Au: 0.854 0.854 0.297
Au: 0.954 0.954 0.779

(two)
Entry from Alexandria: a geometry-optimized Li2ErAu8 structure (GGA-PBE).

The value obtained for the density is 14041 kg/m³.

Unit cell a=7.850 b=7.850 c=4.108 alpha=105.06 beta=105.06 gamma=59.33
Fractional positions:
Li: 0.155 0.155 0.156
Li: 0.845 0.845 0.844
Er: 0.439 0.561 0.500
Au: 0.030 0.970 0.500
Au: 0.042 0.591 0.316
Au: 0.308 0.364 0.836
Au: 0.409 0.958 0.684
Au: 0.596 0.095 0.345
Au: 0.636 0.692 0.164
Au: 0.729 0.271 0.000
Au: 0.905 0.404 0.655

Which structure loses on stability? (two) does.

(one)
Entry from Alexandria: a geometry-optimized Li2ErAu2 structure (GGA-PBE).

The value obtained for the density is 9878 kg/m³.

Unit cell a=5.370 b=5.371 c=7.212 alpha=90.00 beta=111.66 gamma=90.00
Fractional positions:
Li: 0.000 0.250 0.000
Li: 0.000 0.750 0.000
Li: 0.500 0.250 0.000
Li: 0.500 0.750 0.000
Er: 0.000 0.000 0.500
Er: 0.500 0.500 0.500
Au: 0.107 0.500 0.714
Au: 0.393 0.000 0.286
Au: 0.607 0.000 0.714
Au: 0.893 0.500 0.286

(two)
Entry from Alexandria: a geometry-optimized Li2ErAu2 structure (GGA-PBE).

The value obtained for the density is 9651 kg/m³.

Unit cell a=5.366 b=5.366 c=7.196 alpha=101.99 beta=101.99 gamma=83.97
Fractional positions:
Li: 0.103 0.218 0.462
Li: 0.218 0.103 0.962
Li: 0.782 0.897 0.038
Li: 0.897 0.782 0.538
Er: 0.360 0.640 0.250
Er: 0.640 0.360 0.750
Au: 0.142 0.570 0.836
Au: 0.430 0.858 0.664
Au: 0.570 0.142 0.336
Au: 0.858 0.430 0.164

Which structure loses on stability? (two) does.

(one)
Entry from Alexandria: a geometry-optimized LiErAu2 structure (GGA-PBE).

The value obtained for the density is 11746 kg/m³.

Unit cell a=4.733 b=4.733 c=3.586 alpha=90.00 beta=90.00 gamma=90.00
Fractional positions:
Li: 0.000 0.000 0.000
Er: 0.500 0.500 0.000
Au: 0.000 0.500 0.500
Au: 0.500 0.000 0.500

(two)
Entry from Alexandria: a geometry-optimized LiErAu2 structure (GGA-PBE).

The value obtained for the density is 12106 kg/m³.

Unit cell a=3.511 b=3.511 c=6.322 alpha=90.00 beta=90.00 gamma=90.00
Fractional positions:
Li: 0.000 0.000 0.000
Er: 0.000 0.000 0.500
Au: 0.500 0.500 0.227
Au: 0.500 0.500 0.773

(three)
Entry from Alexandria: a geometry-optimized LiErAu2 structure (GGA-PBE).

The value obtained for the density is 11910 kg/m³.

Unit cell a=6.817 b=6.817 c=6.817 alpha=90.00 beta=90.00 gamma=90.00
Fractional positions:
Li: 0.000 0.000 0.000
Li: 0.000 0.500 0.500
Li: 0.500 0.000 0.500
Li: 0.500 0.500 0.000
Er: 0.000 0.000 0.500
Er: 0.000 0.500 0.000
Er: 0.500 0.000 0.000
Er: 0.500 0.500 0.500
Au: 0.250 0.250 0.250
Au: 0.250 0.250 0.750
Au: 0.250 0.750 0.250
Au: 0.250 0.750 0.750
Au: 0.750 0.250 0.250
Au: 0.750 0.250 0.750
Au: 0.750 0.750 0.250
Au: 0.750 0.750 0.750

Which structure loses on stability? (one) does.

(one)
Entry from Alexandria: a geometry-optimized LiErPdAu structure (GGA-PBE).

The value obtained for the density is 10756 kg/m³.

Unit cell a=3.397 b=3.397 c=6.391 alpha=90.00 beta=90.00 gamma=90.00
Fractional positions:
Li: 0.000 0.000 0.000
Er: 0.000 0.000 0.485
Pd: 0.500 0.500 0.226
Au: 0.500 0.500 0.778

(two)
Entry from Alexandria: a geometry-optimized LiErPdAu structure (GGA-PBE).

The value obtained for the density is 10441 kg/m³.

Unit cell a=6.723 b=6.723 c=6.723 alpha=90.00 beta=90.00 gamma=90.00
Fractional positions:
Li: 0.000 0.000 0.000
Li: 0.000 0.500 0.500
Li: 0.500 0.000 0.500
Li: 0.500 0.500 0.000
Er: 0.000 0.000 0.500
Er: 0.000 0.500 0.000
Er: 0.500 0.000 0.000
Er: 0.500 0.500 0.500
Pd: 0.250 0.250 0.250
Pd: 0.250 0.750 0.750
Pd: 0.750 0.250 0.750
Pd: 0.750 0.750 0.250
Au: 0.250 0.250 0.750
Au: 0.250 0.750 0.250
Au: 0.750 0.250 0.250
Au: 0.750 0.750 0.750

Which structure loses on stability? (two) does.

(one)
Entry from Alexandria: a geometry-optimized ErLuAu structure (GGA-PBE).

The value obtained for the density is 11797 kg/m³.

Unit cell a=3.533 b=3.533 c=12.163 alpha=90.00 beta=90.00 gamma=90.00
Fractional positions:
Er: 0.000 0.000 0.000
Er: 0.500 0.500 0.500
Lu: 0.000 0.000 0.709
Lu: 0.500 0.500 0.209
Au: 0.000 0.000 0.350
Au: 0.500 0.500 0.850

(two)
Entry from Alexandria: a geometry-optimized ErLuAu structure (GGA-PBE).

The value obtained for the density is 10781 kg/m³.

Unit cell a=6.926 b=6.926 c=6.926 alpha=90.00 beta=90.00 gamma=90.00
Fractional positions:
Er: 0.000 0.000 0.000
Er: 0.000 0.500 0.500
Er: 0.500 0.000 0.500
Er: 0.500 0.500 0.000
Lu: 0.000 0.000 0.500
Lu: 0.000 0.500 0.000
Lu: 0.500 0.000 0.000
Lu: 0.500 0.500 0.500
Au: 0.250 0.250 0.750
Au: 0.250 0.750 0.250
Au: 0.750 0.250 0.250
Au: 0.750 0.750 0.750

(three)
Entry from Alexandria: a geometry-optimized ErLuAu structure (GGA-PBE).

The value obtained for the density is 11774 kg/m³.

Unit cell a=4.852 b=4.852 c=3.730 alpha=90.00 beta=90.00 gamma=120.00
Fractional positions:
Er: 0.000 0.000 0.000
Lu: 0.333 0.667 0.478
Au: 0.667 0.333 0.716

Which structure loses on stability? (three) does.